Computed, not measured: ZnInSn2W at its PBEsol-relaxed geometry at the SCAN level of DFT.

## Properties
* total DFT energy (no corrections): -37.0742 eV per atom
* V: 143 Å³ per cell

```
ZnInSn2W
1.0
5.197 0.000 0.000
0.000 5.197 0.000
0.000 0.000 5.286
Zn In Sn W
1 1 2 1
Direct
0.000 0.000 0.000 Zn
0.500 0.500 0.000 In
0.000 0.500 0.500 Sn
0.500 0.000 0.500 Sn
0.500 0.500 0.500 W
```

Computed, not measured: Zn2In2Sn at its PBEsol-relaxed geometry at the SCAN level of DFT.

## Properties
* total DFT energy (no corrections): -25.8058 eV per atom
* V: 214 Å³ per cell

```
Zn2In2Sn
1.0
7.238 0.000 0.000
0.000 7.238 0.000
0.000 0.000 4.086
Zn In Sn
4 4 2
Direct
0.123 0.377 0.000 Zn
0.377 0.877 0.000 Zn
0.623 0.123 0.000 Zn
0.877 0.623 0.000 Zn
0.177 0.677 0.500 In
0.323 0.177 0.500 In
0.677 0.823 0.500 In
0.823 0.323 0.500 In
0.000 0.000 0.000 Sn
0.500 0.500 0.000 Sn
```

Computed, not measured: Zn3InSn at its PBEsol-relaxed geometry at the SCAN level of DFT.

## Properties
* total DFT energy (no corrections): -21.3303 eV per atom
* V: 125 Å³ per cell

```
Zn3InSn
1.0
4.994 0.000 0.000
0.000 4.994 0.000
0.000 0.000 4.994
Zn In Sn
3 1 1
Direct
0.000 0.000 0.500 Zn
0.000 0.500 0.000 Zn
0.500 0.000 0.000 Zn
0.000 0.000 0.000 In
0.500 0.500 0.500 Sn
```

Computed, not measured: SrIn8 at its PBEsol-relaxed geometry at the SCAN level of DFT.

## Properties
* total DFT energy (no corrections): -32.2977 eV per atom
* V: 236 Å³ per cell

```
SrIn8
1.0
-4.978 4.978 2.382
4.978 -4.978 2.382
4.978 4.978 -2.382
Sr In
1 8
Direct
0.000 0.000 0.000 Sr
0.000 0.342 0.342 In
0.000 0.658 0.658 In
0.324 0.324 0.648 In
0.324 0.676 0.000 In
0.342 0.000 0.342 In
0.658 0.000 0.658 In
0.676 0.324 0.000 In
0.676 0.676 0.352 In
```